A geometry-optimized Ti3MnF structure. Source: Alexandria, functional PBE with a Hubbard U.

Output
- space-group type = Pm-3m (221)
- uncorrected energy (eV for the cell shown) = -35.04
- D(E_F) (states/eV/f.u.) = 4.9
- magnetization (μB per cell) = 2.17

Lattice parameters (Å, degrees): 4.2430 4.2430 4.2430 90.00 90.00 90.00
Each line ends with the local moment (μB).
Sites, in units of the cell vectors:
Ti (0.5000, 0.0000, 0.0000)  -0.86
Ti (0.0000, 0.5000, 0.0000)  -0.52
Ti (0.0000, 0.0000, 0.5000)  -0.47
Mn (0.5000, 0.5000, 0.5000)  4.28
F (0.0000, 0.0000, 0.0000)  -0.02